A plane-wave DFT calculation with PBE-GGA was carried out for a relaxed structure of Na12S3I5.

Calculated values
Space-group type   Ia-3d
D(E_F)   0.08 states/eV/atom
E_form (uncorrected)   -18.7 eV/f.u.

Cell: 15.1591 15.1591 15.1591 Å, 109.47 109.47 109.47°
Closest atoms and distances in Å follow each position.
Fractional coordinates of all 80 atoms:
Na 0.9235 0.5631 0.1673  1 S 2.85, 1 Na 2.99, 2 I 3.02-3.13
Na 0.8327 0.8957 0.2561  1 S 2.85, 1 Na 2.99, 2 I 3.02-3.13
Na 0.6673 0.4235 0.5631  1 S 2.85, 1 Na 2.99, 2 I 3.02-3.13
Na 0.4370 0.3604 0.6043  1 S 2.85, 1 Na 2.99, 2 I 3.02-3.13
Na 0.1396 0.3957 0.0630  1 S 2.85, 1 Na 2.99, 2 I 3.02-3.13
Na 0.8327 0.9370 0.0765  1 S 2.85, 1 Na 2.99, 2 I 3.02-3.13
Na 0.3957 0.1396 0.5631  1 S 2.85, 1 Na 2.99, 2 I 3.02-3.13
Na 0.3327 0.7561 0.3957  1 S 2.85, 1 Na 2.99, 2 I 3.02-3.13
Na 0.0630 0.1673 0.4235  1 S 2.85, 1 Na 2.99, 2 I 3.02-3.13
Na 0.9370 0.1043 0.8604  1 S 2.85, 1 Na 2.99, 2 I 3.02-3.13
Na 0.4235 0.7561 0.8604  1 S 2.85, 1 Na 2.99, 2 I 3.02-3.13
Na 0.9235 0.3604 0.2561  1 S 2.85, 1 Na 2.99, 2 I 3.02-3.13
Na 0.3327 0.5765 0.4370  1 S 2.85, 1 Na 2.99, 2 I 3.02-3.13
Na 0.8957 0.0630 0.6396  1 S 2.85, 1 Na 2.99, 2 I 3.02-3.13
Na 0.6043 0.7439 0.6673  1 S 2.85, 1 Na 2.99, 2 I 3.02-3.13
Na 0.0630 0.8957 0.1396  1 S 2.85, 1 Na 2.99, 2 I 3.02-3.13
Na 0.3604 0.4370 0.1043  1 S 2.85, 1 Na 2.99, 2 I 3.02-3.13
Na 0.2439 0.5765 0.6396  1 S 2.85, 1 Na 2.99, 2 I 3.02-3.13
Na 0.1673 0.0630 0.9235  1 S 2.85, 1 Na 2.99, 2 I 3.02-3.13
Na 0.1043 0.9370 0.3604  1 S 2.85, 1 Na 2.99, 2 I 3.02-3.13
Na 0.3604 0.9235 0.7561  1 S 2.85, 1 Na 2.99, 2 I 3.02-3.13
Na 0.1043 0.1673 0.2439  1 S 2.85, 1 Na 2.99, 2 I 3.02-3.13
Na 0.5765 0.3327 0.9370  1 S 2.85, 1 Na 2.99, 2 I 3.02-3.13
Na 0.2561 0.8604 0.9235  1 S 2.85, 1 Na 2.99, 2 I 3.02-3.13
Na 0.2561 0.3957 0.8327  1 S 2.85, 1 Na 2.99, 2 I 3.02-3.13
Na 0.7439 0.6043 0.1673  1 S 2.85, 1 Na 2.99, 2 I 3.02-3.13
Na 0.5765 0.2439 0.1396  1 S 2.85, 1 Na 2.99, 2 I 3.02-3.13
Na 0.2439 0.6673 0.1043  1 S 2.85, 1 Na 2.99, 2 I 3.02-3.13
Na 0.7561 0.4235 0.3604  1 S 2.85, 1 Na 2.99, 2 I 3.02-3.13
Na 0.8604 0.6043 0.9370  1 S 2.85, 1 Na 2.99, 2 I 3.02-3.13
Na 0.7561 0.3327 0.8957  1 S 2.85, 1 Na 2.99, 2 I 3.02-3.13
Na 0.0765 0.6396 0.7439  1 S 2.85, 1 Na 2.99, 2 I 3.02-3.13
Na 0.4370 0.0765 0.3327  1 S 2.85, 1 Na 2.99, 2 I 3.02-3.13
Na 0.3957 0.2561 0.3327  1 S 2.85, 1 Na 2.99, 2 I 3.02-3.13
Na 0.1396 0.7439 0.5765  1 S 2.85, 1 Na 2.99, 2 I 3.02-3.13
Na 0.0765 0.4370 0.8327  1 S 2.85, 1 Na 2.99, 2 I 3.02-3.13
Na 0.6396 0.0765 0.2439  1 S 2.85, 1 Na 2.99, 2 I 3.02-3.13
Na 0.5631 0.6396 0.3957  1 S 2.85, 1 Na 2.99, 2 I 3.02-3.13
Na 0.8957 0.8327 0.7561  1 S 2.85, 1 Na 2.99, 2 I 3.02-3.13
Na 0.8604 0.2561 0.4235  1 S 2.85, 1 Na 2.99, 2 I 3.02-3.13
Na 0.6396 0.5631 0.8957  1 S 2.85, 1 Na 2.99, 2 I 3.02-3.13
Na 0.1673 0.1043 0.7439  1 S 2.85, 1 Na 2.99, 2 I 3.02-3.13
Na 0.9370 0.8327 0.5765  1 S 2.85, 1 Na 2.99, 2 I 3.02-3.13
Na 0.6043 0.8604 0.4370  1 S 2.85, 1 Na 2.99, 2 I 3.02-3.13
Na 0.7439 0.1396 0.0765  1 S 2.85, 1 Na 2.99, 2 I 3.02-3.13
Na 0.6673 0.2439 0.6043  1 S 2.85, 1 Na 2.99, 2 I 3.02-3.13
Na 0.4235 0.6673 0.0630  1 S 2.85, 1 Na 2.99, 2 I 3.02-3.13
Na 0.5631 0.9235 0.6673  1 S 2.85, 1 Na 2.99, 2 I 3.02-3.13
I 0.0000 0.0000 0.0000  6 Na 3.13
I 0.1250 0.7500 0.3750  4 Na 3.02
I 0.3750 0.1250 0.7500  4 Na 3.02
I 0.1250 0.3750 0.2500  4 Na 3.02
I 0.7500 0.6250 0.3750  4 Na 3.02
I 0.0000 0.0000 0.5000  6 Na 3.13
I 0.2500 0.3750 0.6250  4 Na 3.02
I 0.5000 0.0000 0.5000  6 Na 3.13
I 0.5000 0.5000 0.5000  6 Na 3.13
I 0.3750 0.2500 0.1250  4 Na 3.02
I 0.0000 0.5000 0.5000  6 Na 3.13
I 0.6250 0.7500 0.8750  4 Na 3.02
I 0.7500 0.1250 0.8750  4 Na 3.02
I 0.5000 0.5000 0.0000  6 Na 3.13
I 0.0000 0.5000 0.0000  6 Na 3.13
I 0.6250 0.8750 0.2500  4 Na 3.02
I 0.8750 0.2500 0.6250  4 Na 3.02
I 0.2500 0.8750 0.1250  4 Na 3.02
I 0.5000 0.0000 0.0000  6 Na 3.13
I 0.8750 0.6250 0.7500  4 Na 3.02
S 0.8750 0.7500 0.1250  4 Na 2.85
S 0.3750 0.6250 0.2500  4 Na 2.85
S 0.2500 0.1250 0.3750  4 Na 2.85
S 0.3750 0.7500 0.6250  4 Na 2.85
S 0.1250 0.8750 0.7500  4 Na 2.85
S 0.8750 0.1250 0.2500  4 Na 2.85
S 0.7500 0.3750 0.1250  4 Na 2.85
S 0.1250 0.2500 0.8750  4 Na 2.85
S 0.2500 0.6250 0.8750  4 Na 2.85
S 0.7500 0.8750 0.6250  4 Na 2.85
S 0.6250 0.3750 0.7500  4 Na 2.85
S 0.6250 0.2500 0.3750  4 Na 2.85